(1)
Crystalline Nb3TeAu at its relaxed geometry, computed with PBE-GGA.

```
data_Nb3TeAu
_space_group_name_H-M_alt 'P m -3 m'
_space_group_IT_number 221
_space_group_name_Hall '-P 4 2 3'
_cell_length_a 5.001
_cell_length_b 5.001
_cell_length_c 5.001
_cell_angle_alpha 90.00
_cell_angle_beta 90.00
_cell_angle_gamma 90.00
loop_
_atom_site_label
_atom_site_type_symbol
_atom_site_fract_x
_atom_site_fract_y
_atom_site_fract_z
Nb1 Nb 0.000 0.000 0.500
Te1 Te 0.000 0.000 0.000
Au1 Au 0.500 0.500 0.500
```

Results
Electronic total energy (eV per atom): -5.89

(2)
Crystalline NbTe3Au at its relaxed geometry, computed with PBE-GGA.

```
data_NbTe3Au
_space_group_name_H-M_alt 'P m -3 m'
_space_group_IT_number 221
_space_group_name_Hall '-P 4 2 3'
_cell_length_a 5.312
_cell_length_b 5.312
_cell_length_c 5.312
_cell_angle_alpha 90.00
_cell_angle_beta 90.00
_cell_angle_gamma 90.00
loop_
_atom_site_label
_atom_site_type_symbol
_atom_site_fract_x
_atom_site_fract_y
_atom_site_fract_z
Nb1 Nb 0.000 0.000 0.000
Te1 Te 0.000 0.500 0.500
Au1 Au 0.500 0.500 0.500
```

Results
Electronic total energy (eV per atom): -3.49

| no. | E above lowest polymorph (eV/f.u.) | M_tot (μB per cell) | formation energy without anion corrections (eV per formula unit) |
| --- | --- | --- | --- |
| 1 | 0.552 | 0.00 | 7.17 |
| 2 | 6.099 | 0.00 | 5.34 |